# 1
This record from Alexandria describes a relaxed ReGe2Pd crystal. The functional is PBE.

Geometry as CIF:
```
data_ReGe2Pd
_chemical_formula_sum 'Re4 Ge8 Pd4'
_cell_length_a 5.686
_cell_length_b 5.686
_cell_length_c 10.974
_cell_angle_alpha 90.00
_cell_angle_beta 90.00
_cell_angle_gamma 90.00
_symmetry_space_group_name_H-M 'I -4 2 d'
_symmetry_Int_Tables_number 122
_symmetry_space_group_name_Hall 'I -4 2bw'
loop_
_atom_site_label
_atom_site_type_symbol
_atom_site_fract_x
_atom_site_fract_y
_atom_site_fract_z
Re1 Re 0.000 0.000 0.000
Ge1 Ge 0.241 0.250 0.125
Pd1 Pd 0.000 0.000 0.500
```

Output
energy relative to the elements: 58 kJ per mole of atoms
electronic total energy: -6.11 eV per atom
crystal system: tetragonal

# 2
This record from Alexandria describes a relaxed LaScIr2 crystal. The functional is PBE.

Geometry as CIF:
```
data_LaScIr2
_chemical_formula_sum 'La4 Sc4 Ir8'
_cell_length_a 7.384
_cell_length_b 7.384
_cell_length_c 6.129
_cell_angle_alpha 90.00
_cell_angle_beta 90.00
_cell_angle_gamma 90.00
_symmetry_space_group_name_H-M 'I -4 2 d'
_symmetry_Int_Tables_number 122
_symmetry_space_group_name_Hall 'I -4 2bw'
loop_
_atom_site_label
_atom_site_type_symbol
_atom_site_fract_x
_atom_site_fract_y
_atom_site_fract_z
La1 La 0.000 0.000 0.000
Sc1 Sc 0.000 0.000 0.500
Ir1 Ir 0.235 0.250 0.625
```

Output
energy relative to the elements: -36 kJ per mole of atoms
electronic total energy: -7.62 eV per atom
crystal system: tetragonal

# 3
This record from Alexandria describes a relaxed VAgGe2W crystal. The functional is PBE.

Geometry as CIF:
```
data_VAgGe2W
_chemical_formula_sum 'V1 Ag1 Ge2 W1'
_cell_length_a 4.606
_cell_length_b 4.606
_cell_length_c 4.907
_cell_angle_alpha 90.00
_cell_angle_beta 90.00
_cell_angle_gamma 90.00
_symmetry_space_group_name_H-M 'P 4/m m m'
_symmetry_Int_Tables_number 123
_symmetry_space_group_name_Hall '-P 4 2'
loop_
_atom_site_label
_atom_site_type_symbol
_atom_site_fract_x
_atom_site_fract_y
_atom_site_fract_z
V1 V 0.000 0.000 0.000
Ag1 Ag 0.000 0.000 0.500
Ge1 Ge 0.000 0.500 0.000
W1 W 0.500 0.500 0.500
```

Output
energy relative to the elements: 138 kJ per mole of atoms
electronic total energy: -5.40 eV per atom
crystal system: tetragonal

# 4
This record from Alexandria describes a relaxed CrTc5 crystal. The functional is PBE.

Geometry as CIF:
```
data_CrTc5
_chemical_formula_sum 'Cr2 Tc10'
_cell_length_a 9.974
_cell_length_b 2.747
_cell_length_c 6.410
_cell_angle_alpha 90.00
_cell_angle_beta 104.55
_cell_angle_gamma 90.00
_symmetry_space_group_name_H-M 'C 1 m 1'
_symmetry_Int_Tables_number 8
loop_
_symmetry_equiv_pos_as_xyz
'x,y,z'
'x,-y,z'
'x+1/2,y+1/2,z'
'x+1/2,-y+1/2,z'
loop_
_atom_site_label
_atom_site_type_symbol
_atom_site_fract_x
_atom_site_fract_y
_atom_site_fract_z
Cr1 Cr 0.000 0.000 0.000
Tc1 Tc 0.056 0.000 0.609
Tc2 Tc 0.166 0.500 0.327
Tc3 Tc 0.217 0.500 0.942
Tc4 Tc 0.339 0.000 0.671
Tc5 Tc 0.393 0.000 0.266
```

Output
energy relative to the elements: 9 kJ per mole of atoms
electronic total energy: -10.15 eV per atom
crystal system: monoclinic

# 5
This record from Alexandria describes a relaxed Nd4ThBi5 crystal. The functional is PBE.

Geometry as CIF:
```
data_Nd4ThBi5
_chemical_formula_sum 'Nd8 Th2 Bi10'
_cell_length_a 10.302
_cell_length_b 10.302
_cell_length_c 6.518
_cell_angle_alpha 90.00
_cell_angle_beta 90.00
_cell_angle_gamma 90.00
_symmetry_space_group_name_H-M 'I 4/m'
_symmetry_Int_Tables_number 87
_symmetry_space_group_name_Hall '-I 4'
loop_
_atom_site_label
_atom_site_type_symbol
_atom_site_fract_x
_atom_site_fract_y
_atom_site_fract_z
Nd1 Nd 0.099 0.301 0.000
Th1 Th 0.000 0.000 0.500
Bi1 Bi 0.000 0.000 0.000
Bi2 Bi 0.100 0.298 0.500
```

Output
energy relative to the elements: -86 kJ per mole of atoms
electronic total energy: -5.48 eV per atom
crystal system: tetragonal

# 6
This record from Alexandria describes a relaxed NaInHgAs crystal. The functional is PBE.

Geometry as CIF:
```
data_NaInHgAs
_chemical_formula_sum 'Na4 In4 Hg4 As4'
_cell_length_a 7.280
_cell_length_b 7.280
_cell_length_c 7.280
_cell_angle_alpha 90.00
_cell_angle_beta 90.00
_cell_angle_gamma 90.00
_symmetry_space_group_name_H-M 'F -4 3 m'
_symmetry_Int_Tables_number 216
_symmetry_space_group_name_Hall 'F -4 2 3'
loop_
_atom_site_label
_atom_site_type_symbol
_atom_site_fract_x
_atom_site_fract_y
_atom_site_fract_z
Na1 Na 0.000 0.000 0.000
In1 In 0.000 0.000 0.500
Hg1 Hg 0.250 0.250 0.750
As1 As 0.250 0.250 0.250
```

Output
energy relative to the elements: -11 kJ per mole of atoms
electronic total energy: -2.36 eV per atom
crystal system: cubic

# 7
This record from Alexandria describes a relaxed Zn2H5Rh3 crystal. The functional is PBE.

Geometry as CIF:
```
data_Zn2H5Rh3
_chemical_formula_sum 'Zn8 H20 Rh12'
_cell_length_a 6.646
_cell_length_b 10.806
_cell_length_c 5.083
_cell_angle_alpha 90.00
_cell_angle_beta 90.00
_cell_angle_gamma 90.00
_symmetry_space_group_name_H-M 'I b a m'
_symmetry_Int_Tables_number 72
_symmetry_space_group_name_Hall '-I 2 2c'
loop_
_atom_site_label
_atom_site_type_symbol
_atom_site_fract_x
_atom_site_fract_y
_atom_site_fract_z
Zn1 Zn 0.239 0.165 0.000
H1 H 0.000 0.317 0.250
H2 H 0.000 0.500 0.250
H3 H 0.084 0.110 0.500
Rh1 Rh 0.000 0.000 0.250
Rh2 Rh 0.139 0.399 0.000
```

Output
electronic total energy: -4.20 eV per atom
crystal system: orthorhombic

# 8
This record from Alexandria describes a relaxed NaAs2Au crystal. The functional is PBE.

Geometry as CIF:
```
data_NaAs2Au
_chemical_formula_sum 'Na1 As2 Au1'
_cell_length_a 4.484
_cell_length_b 3.997
_cell_length_c 5.567
_cell_angle_alpha 90.00
_cell_angle_beta 100.65
_cell_angle_gamma 90.00
_symmetry_space_group_name_H-M 'P 1 2/m 1'
_symmetry_Int_Tables_number 10
loop_
_symmetry_equiv_pos_as_xyz
'x,y,z'
'-x,-y,-z'
'-x,y,-z'
'x,-y,z'
loop_
_atom_site_label
_atom_site_type_symbol
_atom_site_fract_x
_atom_site_fract_y
_atom_site_fract_z
Na1 Na 0.000 0.000 0.000
As1 As 0.230 0.500 0.659
Au1 Au 0.500 0.000 0.500
```

Output
energy relative to the elements: -24 kJ per mole of atoms
electronic total energy: -3.72 eV per atom
crystal system: monoclinic